# Y3RuPb, optimized geometry, DFT PBE
data_Y3RuPb
_space_group_name_H-M_alt 'P 4 m m'
_space_group_IT_number 99
_space_group_name_Hall 'P 4 -2'
_cell_length_a 4.4636
_cell_length_b 4.4636
_cell_length_c 8.3918
_cell_angle_alpha 90.00
_cell_angle_beta 90.00
_cell_angle_gamma 90.00
loop_
_atom_site_label
_atom_site_type_symbol
_atom_site_fract_x
_atom_site_fract_y
_atom_site_fract_z
Y1 Y 0.0000 0.0000 0.0000
Y2 Y 0.0000 0.5000 0.6739
Ru1 Ru 0.5000 0.5000 0.8745
Pb1 Pb 0.0000 0.0000 0.3708
# raw total energy	-31.63	eV for the cell shown
# mass density	5.7	g/cm³
# E_form	149	meV per atom
# relative energy among the computed polymorphs	2.803	eV per formula unit


# YRu2Pb, optimized geometry, DFT PBE
data_YRu2Pb
_space_group_name_H-M_alt 'A m m 2'
_space_group_IT_number 38
_space_group_name_Hall 'A 2 -2'
_cell_length_a 4.1928
_cell_length_b 4.1261
_cell_length_c 9.9237
_cell_angle_alpha 90.00
_cell_angle_beta 90.00
_cell_angle_gamma 90.00
loop_
_atom_site_label
_atom_site_type_symbol
_atom_site_fract_x
_atom_site_fract_y
_atom_site_fract_z
Y1 Y 0.0000 0.0000 0.0000
Ru1 Ru 0.0000 0.0000 0.2932
Ru2 Ru 0.5000 0.0000 0.4176
Pb1 Pb 0.5000 0.0000 0.7025
# raw total energy	-57.04	eV for the cell shown
# mass density	9.6	g/cm³
# E_form	52	meV per atom


# YRu2Pb, optimized geometry, DFT PBE
data_YRu2Pb
_space_group_name_H-M_alt 'P m m 2'
_space_group_IT_number 25
_space_group_name_Hall 'P 2 -2'
_cell_length_a 3.1865
_cell_length_b 4.2727
_cell_length_c 5.7056
_cell_angle_alpha 90.00
_cell_angle_beta 90.00
_cell_angle_gamma 90.00
loop_
_atom_site_label
_atom_site_type_symbol
_atom_site_fract_x
_atom_site_fract_y
_atom_site_fract_z
Y1 Y 0.0000 0.0000 0.0000
Ru1 Ru 0.0000 0.0000 0.5348
Ru2 Ru 0.5000 0.5000 0.7764
Pb1 Pb 0.5000 0.5000 0.3092
# raw total energy	-28.01	eV for the cell shown
# mass density	10.7	g/cm³
# E_form	180	meV per atom


# Y3RuPb, optimized geometry, DFT PBE
data_Y3RuPb
_space_group_name_H-M_alt 'P 1 21/m 1'
_space_group_IT_number 11
_space_group_name_Hall '-P 2yb'
_cell_length_a 5.3820
_cell_length_b 8.5710
_cell_length_c 6.6481
_cell_angle_alpha 90.00
_cell_angle_beta 109.86
_cell_angle_gamma 90.00
loop_
_atom_site_label
_atom_site_type_symbol
_atom_site_fract_x
_atom_site_fract_y
_atom_site_fract_z
Y1 Y 0.0264 0.2500 0.0905
Y2 Y 0.3820 0.0557 0.7337
Ru1 Ru 0.4669 0.7500 0.8927
Pb1 Pb 0.1826 0.7500 0.4341
# raw total energy	-68.09	eV for the cell shown
# mass density	6.6	g/cm³
# E_form	-333	meV per atom
# relative energy among the computed polymorphs	0.392	eV per formula unit


# YRu2Pb, optimized geometry, DFT PBE
data_YRu2Pb
_space_group_name_H-M_alt 'R 3 m'
_space_group_IT_number 160
_space_group_name_Hall 'R 3 -2"'
_cell_length_a 4.3600
_cell_length_b 4.3600
_cell_length_c 16.0234
_cell_angle_alpha 90.00
_cell_angle_beta 90.00
_cell_angle_gamma 120.00
loop_
_atom_site_label
_atom_site_type_symbol
_atom_site_fract_x
_atom_site_fract_y
_atom_site_fract_z
Y1 Y 0.0000 0.0000 0.0000
Ru1 Ru 0.0000 0.0000 0.4466
Ru2 Ru 0.0000 0.0000 0.7810
Pb1 Pb 0.0000 0.0000 0.2056
# raw total energy	-86.48	eV for the cell shown
# mass density	9.4	g/cm³
# E_form	-26	meV per atom


# Y3RuPb, optimized geometry, DFT PBE
data_Y3RuPb
_space_group_name_H-M_alt 'A m m 2'
_space_group_IT_number 38
_space_group_name_Hall 'A 2 -2'
_cell_length_a 3.7391
_cell_length_b 7.4132
_cell_length_c 15.1146
_cell_angle_alpha 90.00
_cell_angle_beta 90.00
_cell_angle_gamma 90.00
loop_
_atom_site_label
_atom_site_type_symbol
_atom_site_fract_x
_atom_site_fract_y
_atom_site_fract_z
Y1 Y 0.0000 0.0000 0.0000
Y2 Y 0.5000 0.2450 0.3433
Ru1 Ru 0.0000 0.0000 0.8155
Pb1 Pb 0.5000 0.0000 0.1723
# raw total energy	-61.22	eV for the cell shown
# mass density	4.6	g/cm³
# E_form	353	meV per atom
# relative energy among the computed polymorphs	3.825	eV per formula unit


# Y3RuPb, optimized geometry, DFT PBE
data_Y3RuPb
_space_group_name_H-M_alt 'C 1 2/c 1'
_space_group_IT_number 15
_space_group_name_Hall '-C 2yc'
_cell_length_a 12.9014
_cell_length_b 13.2866
_cell_length_c 6.6061
_cell_angle_alpha 90.00
_cell_angle_beta 99.59
_cell_angle_gamma 90.00
loop_
_atom_site_label
_atom_site_type_symbol
_atom_site_fract_x
_atom_site_fract_y
_atom_site_fract_z
Y1 Y 0.0860 0.1305 0.0186
Y2 Y 0.1199 0.3291 0.6064
Y3 Y 0.1500 0.4063 0.1132
Ru1 Ru 0.0000 0.2748 0.2500
Ru2 Ru 0.0000 0.4903 0.7500
Pb1 Pb 0.1559 0.0974 0.5078
# raw total energy	-271.54	eV for the cell shown
# mass density	6.8	g/cm³
# E_form	-313	meV per atom
# relative energy among the computed polymorphs	0.493	eV per formula unit


# Y3RuPb, optimized geometry, DFT PBE
data_Y3RuPb
_space_group_name_H-M_alt 'P 1'
_space_group_IT_number 1
_space_group_name_Hall 'P 1'
_cell_length_a 5.7752
_cell_length_b 5.8004
_cell_length_c 8.8951
_cell_angle_alpha 90.17
_cell_angle_beta 90.17
_cell_angle_gamma 113.53
loop_
_atom_site_label
_atom_site_type_symbol
_atom_site_fract_x
_atom_site_fract_y
_atom_site_fract_z
Y1 Y 0.0000 0.0000 0.0000
Y2 Y 0.1305 0.8643 0.4768
Y3 Y 0.3158 0.6827 0.8208
Y4 Y 0.4959 0.4960 0.4768
Y5 Y 0.6345 0.3682 0.0000
Y6 Y 0.8146 0.1815 0.6559
Ru1 Ru 0.3152 0.1818 0.7385
Ru2 Ru 0.8150 0.6821 0.7383
Pb1 Pb 0.3122 0.6790 0.1704
Pb2 Pb 0.8128 0.1797 0.3064
# raw total energy	-68.53	eV for the cell shown
# mass density	7.0	g/cm³
# E_form	-378	meV per atom
# relative energy among the computed polymorphs	0.169	eV per formula unit


# YRu2Pb, optimized geometry, DFT PBE
data_YRu2Pb
_space_group_name_H-M_alt 'I -4 2 d'
_space_group_IT_number 122
_space_group_name_Hall 'I -4 2bw'
_cell_length_a 7.3664
_cell_length_b 7.3664
_cell_length_c 6.2827
_cell_angle_alpha 90.00
_cell_angle_beta 90.00
_cell_angle_gamma 90.00
loop_
_atom_site_label
_atom_site_type_symbol
_atom_site_fract_x
_atom_site_fract_y
_atom_site_fract_z
Y1 Y 0.0000 0.0000 0.0000
Ru1 Ru 0.2332 0.7500 0.6250
Pb1 Pb 0.0000 0.0000 0.5000
# raw total energy	-105.63	eV for the cell shown
# mass density	9.7	g/cm³
# E_form	579	meV per atom


# Y3RuPb, optimized geometry, DFT PBE
data_Y3RuPb
_space_group_name_H-M_alt 'P 63/m m c'
_space_group_IT_number 194
_space_group_name_Hall '-P 6c 2c'
_cell_length_a 4.9406
_cell_length_b 4.9406
_cell_length_c 15.5753
_cell_angle_alpha 90.00
_cell_angle_beta 90.00
_cell_angle_gamma 120.00
loop_
_atom_site_label
_atom_site_type_symbol
_atom_site_fract_x
_atom_site_fract_y
_atom_site_fract_z
Y1 Y 0.0000 0.0000 0.2500
Y2 Y 0.3333 0.6667 0.0606
Ru1 Ru 0.0000 0.0000 0.0000
Pb1 Pb 0.3333 0.6667 0.2500
# raw total energy	-62.56	eV for the cell shown
# mass density	5.8	g/cm³
# E_form	219	meV per atom
# relative energy among the computed polymorphs	3.153	eV per formula unit


# Y3RuPb, optimized geometry, DFT PBE
data_Y3RuPb
_space_group_name_H-M_alt 'P 63/m m c'
_space_group_IT_number 194
_space_group_name_Hall '-P 6c 2c'
_cell_length_a 4.8661
_cell_length_b 4.8661
_cell_length_c 15.9158
_cell_angle_alpha 90.00
_cell_angle_beta 90.00
_cell_angle_gamma 120.00
loop_
_atom_site_label
_atom_site_type_symbol
_atom_site_fract_x
_atom_site_fract_y
_atom_site_fract_z
Y1 Y 0.0000 0.0000 0.2500
Y2 Y 0.3333 0.6667 0.0884
Ru1 Ru 0.3333 0.6667 0.2500
Pb1 Pb 0.0000 0.0000 0.0000
# raw total energy	-65.23	eV for the cell shown
# mass density	5.9	g/cm³
# E_form	-47	meV per atom
# relative energy among the computed polymorphs	1.821	eV per formula unit


# Y3RuPb, optimized geometry, DFT PBE
data_Y3RuPb
_space_group_name_H-M_alt 'R 3 m'
_space_group_IT_number 160
_space_group_name_Hall 'R 3 -2"'
_cell_length_a 6.2395
_cell_length_b 6.2395
_cell_length_c 15.1378
_cell_angle_alpha 90.00
_cell_angle_beta 90.00
_cell_angle_gamma 120.00
loop_
_atom_site_label
_atom_site_type_symbol
_atom_site_fract_x
_atom_site_fract_y
_atom_site_fract_z
Y1 Y 0.9999 0.5000 0.0000
Ru1 Ru 0.0000 0.0000 0.9566
Pb1 Pb 0.0000 0.0000 0.5017
# raw total energy	-85.89	eV for the cell shown
# mass density	5.6	g/cm³
# E_form	749	meV per atom
# relative energy among the computed polymorphs	5.804	eV per formula unit


# Y3RuPb, optimized geometry, DFT PBE
data_Y3RuPb
_space_group_name_H-M_alt 'R -3'
_space_group_IT_number 148
_space_group_name_Hall '-R 3'
_cell_length_a 6.8758
_cell_length_b 6.8758
_cell_length_c 21.5301
_cell_angle_alpha 90.00
_cell_angle_beta 90.00
_cell_angle_gamma 120.00
loop_
_atom_site_label
_atom_site_type_symbol
_atom_site_fract_x
_atom_site_fract_y
_atom_site_fract_z
Y1 Y 0.0069 0.6239 0.2671
Ru1 Ru 0.0000 0.0000 0.3153
Pb1 Pb 0.0000 0.0000 0.1792
# raw total energy	-202.32	eV for the cell shown
# mass density	6.5	g/cm³
# E_form	-269	meV per atom
# relative energy among the computed polymorphs	0.715	eV per formula unit